No. 1
Compound: SmGa6Cu6
Source: the Alexandria database
Functional: PBE-GGA
Structure: optimized geometry Values from VASP.

Structure (Quantum ESPRESSO input):
```
&SYSTEM
  ibrav = 0, nat = 13, ntyp = 3
/
ATOMIC_SPECIES
Sm 150.36 Sm.upf
Ga 69.72 Ga.upf
Cu 63.55 Cu.upf
ATOMIC_POSITIONS crystal
Sm 0.0000 0.0000 0.0000
Ga 0.1976 0.6976 0.5000
Ga 0.3472 0.0000 0.3472
Ga 0.3493 0.3493 0.0000
Ga 0.6507 0.6507 0.0000
Ga 0.6528 0.0000 0.6528
Ga 0.8024 0.3024 0.5000
Cu 0.0000 0.0000 0.5000
Cu 0.0000 0.5000 0.0000
Cu 0.2327 0.5000 0.7327
Cu 0.5000 0.0000 0.0000
Cu 0.5000 0.5000 0.5000
Cu 0.7673 0.5000 0.2673
CELL_PARAMETERS angstrom
-2.5873 4.3015 4.3781
2.5873 -4.3015 4.3781
2.5873 4.3015 -4.3781
```

- calculated total energy (eV/atom) = -3.9457
- DFT formation energy (meV/atom) = -295


No. 2
Compound: Sm4GaCu
Source: the Alexandria database
Functional: PBE-GGA
Structure: optimized geometry Values from VASP.

Structure (Quantum ESPRESSO input):
```
&SYSTEM
  ibrav = 0, nat = 12, ntyp = 3
/
ATOMIC_SPECIES
Sm 150.36 Sm.upf
Ga 69.72 Ga.upf
Cu 63.55 Cu.upf
ATOMIC_POSITIONS crystal
Sm 0.0559 0.9441 0.5000
Sm 0.1880 0.8120 0.7786
Sm 0.2141 0.7859 0.2935
Sm 0.3908 0.6092 0.5534
Sm 0.6092 0.3908 0.0534
Sm 0.7859 0.2141 0.7935
Sm 0.8120 0.1880 0.2786
Sm 0.9441 0.0559 0.0000
Ga 0.3435 0.6565 0.0320
Ga 0.6565 0.3435 0.5320
Cu 0.0754 0.9246 0.0197
Cu 0.9246 0.0754 0.5197
CELL_PARAMETERS angstrom
2.6094 -10.6695 0.0000
2.6094 10.6695 0.0000
0.0000 0.0000 6.3232
```

- calculated total energy (eV/atom) = -4.4122
- DFT formation energy (meV/atom) = -79


No. 3
Compound: Sm2Ga3Cu5
Source: the Alexandria database
Functional: PBE-GGA
Structure: optimized geometry Values from VASP.

Structure (Quantum ESPRESSO input):
```
&SYSTEM
  ibrav = 0, nat = 10, ntyp = 3
/
ATOMIC_SPECIES
Sm 150.36 Sm.upf
Ga 69.72 Ga.upf
Cu 63.55 Cu.upf
ATOMIC_POSITIONS crystal
Sm 0.0000 0.5000 0.2393
Sm 0.5000 0.0000 0.7607
Ga 0.0000 0.5000 0.6443
Ga 0.5000 0.0000 0.3557
Ga 0.5000 0.5000 0.5000
Cu 0.0000 0.0000 0.0000
Cu 0.0000 0.0000 0.5000
Cu 0.0000 0.5000 0.8783
Cu 0.5000 0.0000 0.1217
Cu 0.5000 0.5000 0.0000
CELL_PARAMETERS angstrom
4.1587 0.0000 0.0000
0.0000 4.1587 0.0000
0.0000 0.0000 10.1727
```

- calculated total energy (eV/atom) = -4.1990
- energy above the lowest structure with this stoichiometry (meV/atom) = 53
- DFT formation energy (meV/atom) = -299


No. 4
Compound: SmGa4Cu8
Source: the Alexandria database
Functional: PBE-GGA
Structure: optimized geometry Values from VASP.

Structure (Quantum ESPRESSO input):
```
&SYSTEM
  ibrav = 0, nat = 13, ntyp = 3
/
ATOMIC_SPECIES
Sm 150.36 Sm.upf
Ga 69.72 Ga.upf
Cu 63.55 Cu.upf
ATOMIC_POSITIONS crystal
Sm 0.0000 0.0000 0.0000
Ga 0.0000 0.0000 0.5000
Ga 0.0000 0.5000 0.0000
Ga 0.5000 0.0000 0.0000
Ga 0.5000 0.5000 0.5000
Cu 0.0000 0.3551 0.3551
Cu 0.0000 0.6449 0.6449
Cu 0.2804 0.5000 0.7804
Cu 0.3551 0.0000 0.3551
Cu 0.5000 0.2804 0.7804
Cu 0.5000 0.7196 0.2196
Cu 0.6449 0.0000 0.6449
Cu 0.7196 0.5000 0.2196
CELL_PARAMETERS angstrom
-4.3209 4.3209 2.5215
4.3209 -4.3209 2.5215
4.3209 4.3209 -2.5215
```

- calculated total energy (eV/atom) = -3.9886
- DFT formation energy (meV/atom) = -174